The following is a PBE-GGA calculation of crystalline La2ErTe2N2 at its relaxed geometry, from the Alexandria database.

```
La2ErTe2N2
1.0
-2.225 2.225 8.320
2.225 -2.225 8.320
2.225 2.225 -8.320
La Er Te N
2 1 2 2
direct
0.103 0.103 0.000 La
0.897 0.897 0.000 La
0.500 0.500 0.000 Er
0.316 0.316 0.000 Te
0.684 0.684 0.000 Te
0.000 0.500 0.500 N
0.500 0.000 0.500 N
```

Computed properties:
Density of states at the Fermi level, states/eV/f.u.: 3.4
Magnetization, Bohr magnetons per cell: 0.00
Uncorrected formation energy, eV per atom: -1.355



The following is a PBE-GGA calculation of crystalline La4ErTh3N8 at its relaxed geometry, from the Alexandria database.

```
La4ErTh3N8
1.0
3.668 2.117 6.035
-3.668 2.117 6.035
0.000 -4.235 6.035
La Er Th N
4 1 3 8
direct
0.000 0.000 0.000 La
0.000 0.500 0.500 La
0.500 0.000 0.500 La
0.500 0.500 0.000 La
0.500 0.500 0.500 Er
0.000 0.000 0.500 Th
0.000 0.500 0.000 Th
0.500 0.000 0.000 Th
0.243 0.243 0.243 N
0.244 0.742 0.742 N
0.258 0.258 0.756 N
0.258 0.756 0.258 N
0.742 0.244 0.742 N
0.742 0.742 0.244 N
0.756 0.258 0.258 N
0.757 0.757 0.757 N
```

Computed properties:
Density of states at the Fermi level, states/eV/f.u.: 2.8
Magnetization, Bohr magnetons per cell: 0.00
Uncorrected formation energy, eV per atom: -1.515



The following is a PBE-GGA calculation of crystalline LaEr2TiN4 at its relaxed geometry, from the Alexandria database.

```
LaEr2TiN4
1.0
1.712 -5.927 0.000
1.712 5.927 0.000
0.000 0.000 11.798
La Er Ti N
2 4 2 8
direct
0.095 0.905 0.750 La
0.905 0.095 0.250 La
0.371 0.629 0.540 Er
0.371 0.629 0.960 Er
0.629 0.371 0.040 Er
0.629 0.371 0.460 Er
0.168 0.832 0.250 Ti
0.832 0.168 0.750 Ti
0.000 0.000 0.000 N
0.000 0.000 0.500 N
0.262 0.738 0.121 N
0.262 0.738 0.379 N
0.426 0.574 0.750 N
0.574 0.426 0.250 N
0.738 0.262 0.621 N
0.738 0.262 0.879 N
```

Computed properties:
Density of states at the Fermi level, states/eV/f.u.: 2.9
Magnetization, Bohr magnetons per cell: 0.00
Uncorrected formation energy, eV per atom: -1.532



The following is a PBE-GGA calculation of crystalline LaErTiN3 at its relaxed geometry, from the Alexandria database.

```
LaErTiN3
1.0
7.298 0.000 0.000
0.000 3.567 0.000
-1.382 0.000 7.671
La Er Ti N
2 2 2 6
direct
0.180 0.250 0.181 La
0.820 0.750 0.819 La
0.362 0.750 0.848 Er
0.638 0.250 0.152 Er
0.104 0.250 0.599 Ti
0.896 0.750 0.401 Ti
0.118 0.250 0.849 N
0.171 0.750 0.521 N
0.412 0.750 0.141 N
0.588 0.250 0.859 N
0.829 0.250 0.479 N
0.882 0.750 0.151 N
```

Computed properties:
Density of states at the Fermi level, states/eV/f.u.: 1.5
Magnetization, Bohr magnetons per cell: 0.00
Uncorrected formation energy, eV per atom: -1.353